{
  "formula": "SrAg2Hg2",
  "functional": "PBE",
  "state": "optimized geometry",
  "lattice": [[5.287, 0.039, -0.049], [2.611, 4.360, 1.464], [-0.064, 0.111, 5.472]],
  "species": ["Sr", "Ag", "Ag", "Hg", "Hg"],
  "fractional_positions": [[0.500, 0.500, 0.000], [0.109, 0.267, 0.746], [0.891, 0.733, 0.254], [0.237, 0.036, 0.312], [0.763, 0.964, 0.688]],
  "dos_ef_per_ev_atom": 0.395,
  "space_group": "P-1, No. 2",
  "total_magnetization_mub_per_cell": 0.0,
  "de_polymorph_ev_per_fu": 0.00
}